## P
DFT (PBE) results for an optimized crystal structure of AcPmSb2.

abc: 3.9684 3.9684 8.0395
angles: 90.00 90.00 90.00
Closest atoms and distances in Å follow each position.
Atoms (fractional coordinates):
Ac: 0.0000 0.0000 0.0000  8 Sb 3.53
Pm: 0.0000 0.0000 0.5000  8 Sb 3.37
Sb: 0.5000 0.5000 0.2670  4 Pm 3.37, 4 Ac 3.53, 1 Sb 3.75
Sb: 0.5000 0.5000 0.7330  4 Pm 3.37, 4 Ac 3.53, 1 Sb 3.75

Symmetry: P4/mmm


## Q
DFT (PBE) results for an optimized crystal structure of AcPmSb2.

abc: 8.3721 8.3721 8.3721
angles: 31.83 31.83 31.83
Closest atoms and distances in Å follow each position.
Atoms (fractional coordinates):
Ac: 0.0000 0.0000 0.0000  6 Sb 3.34-3.41
Pm: 0.8293 0.8293 0.8293  6 Sb 3.23-3.28
Sb: 0.4184 0.4184 0.4184  3 Pm 3.23, 3 Ac 3.34
Sb: 0.5768 0.5768 0.5768  3 Pm 3.28, 3 Ac 3.41

Symmetry: R3m


## R
DFT (PBE) results for an optimized crystal structure of AcPmSb2.

abc: 4.6168 4.6168 15.3246
angles: 90.00 90.00 120.00
Closest atoms and distances in Å follow each position.
Atoms (fractional coordinates):
Ac: 0.3333 0.6667 0.2500  6 Sb 3.37
Ac: 0.6667 0.3333 0.7500  6 Sb 3.37
Pm: 0.0000 0.0000 0.0000  6 Sb 3.20
Pm: 0.0000 0.0000 0.5000  6 Sb 3.20
Sb: 0.3333 0.6667 0.6155  3 Pm 3.20, 3 Ac 3.37
Sb: 0.3333 0.6667 0.8845  3 Pm 3.20, 3 Ac 3.37
Sb: 0.6667 0.3333 0.1155  3 Pm 3.20, 3 Ac 3.37
Sb: 0.6667 0.3333 0.3845  3 Pm 3.20, 3 Ac 3.37

Symmetry: P6_3/mmc


Which structure above is the least stable? It is P.